DFT (SCAN) results for a crystal of Mn2HgSe relaxed with PBEsol.

It has space group Pmmm (No. 47), with a = 3.450 Å, b = 4.337 Å, c = 4.486 Å, α = 90.00°, β = 90.00° and γ = 90.00°. The asymmetric unit holds Mn at (0.000, 0.000, 0.000), Mn at (0.000, 0.500, 0.500), Hg at (0.500, 0.000, 0.500) and Se at (0.500, 0.500, 0.000).

The crystal system is orthorhombic. The calculation puts the total magnetization at 8.43 Bohr magnetons per cell. The uncorrected formation energy comes out at -0.0605 eV/atom. Its energy is -31.249 eV/atom.